#one
Density functional theory data (PBE) for a relaxed AcCuB crystal.

Cell lengths 6.342, 6.342, 6.342 Å; angles 90.00, 90.00, 90.00 degrees
Space group F-43m (No. 216)
Inequivalent atoms, fractional coordinates:
Ac 0.000 0.000 0.000
Cu 0.000 0.000 0.500
B 0.250 0.250 0.250

Output
* total magnetic moment: 0.00 μB/cell

=====

#two
Density functional theory data (PBE) for a relaxed AcCuB crystal.

Cell lengths 6.737, 6.737, 6.737 Å; angles 90.00, 90.00, 90.00 degrees
Space group F-43m (No. 216)
Inequivalent atoms, fractional coordinates:
Ac 0.000 0.000 0.000
Cu 0.250 0.250 0.250
B 0.250 0.250 0.750

Output
* total magnetic moment: 0.00 μB/cell

=====

Relative energies, in meV per atom, with the most stable structure set to zero: #one 0; #two 668.

=====

#one
Density functional theory data (PBE) for a relaxed AcFeB4 crystal.

Cell lengths 3.152, 5.402, 8.349 Å; angles 90.00, 90.00, 90.00 degrees
Space group Immm (No. 71)
Inequivalent atoms, fractional coordinates:
Ac 0.000 0.000 0.000
Fe 0.000 0.000 0.500
B 0.000 0.338 0.244

Output
* total magnetic moment: 0.02 μB/cell

=====

#two
Density functional theory data (PBE) for a relaxed AcFeB4 crystal.

Cell lengths 3.1866, 3.1866, 7.3114 Å; angles 90.00, 90.00, 120.00 degrees
Space group P6/mmm (No. 191)
Inequivalent atoms, fractional coordinates:
Ac 0.0000 0.0000 0.0000
Fe 0.0000 0.0000 0.5000
B 0.3333 0.6667 0.3178

Output
* total magnetic moment: 0.02 μB/cell

=====

Relative energies, in meV per atom, with the most stable structure set to zero: #one 399; #two 0.

=====

#one
Density functional theory data (PBE) for a relaxed AcHgB4 crystal.

Cell lengths 3.238, 5.591, 9.375 Å; angles 90.00, 90.00, 90.00 degrees
Space group Immm (No. 71)
Inequivalent atoms, fractional coordinates:
Ac 0.000 0.000 0.000
Hg 0.000 0.000 0.500
B 0.000 0.312 0.260

Output
* total magnetic moment: 0.01 μB/cell

=====

#two
Density functional theory data (PBE) for a relaxed AcHgB4 crystal.

Cell lengths 3.2901, 3.2901, 8.4597 Å; angles 90.00, 90.00, 120.00 degrees
Space group P6/mmm (No. 191)
Inequivalent atoms, fractional coordinates:
Ac 0.0000 0.0000 0.0000
Hg 0.0000 0.0000 0.5000
B 0.3333 0.6667 0.2635

Output
* total magnetic moment: 0.01 μB/cell

=====

Relative energies, in meV per atom, with the most stable structure set to zero: #one 0; #two 231.

=====

#one
Density functional theory data (PBE) for a relaxed AcHoB4 crystal.

Cell lengths 3.359, 5.752, 8.422 Å; angles 90.00, 90.00, 90.00 degrees
Space group Immm (No. 71)
Inequivalent atoms, fractional coordinates:
Ac 0.000 0.000 0.000
Ho 0.000 0.000 0.500
B 0.000 0.336 0.247

Output
* total magnetic moment: 0.04 μB/cell

=====

#two
Density functional theory data (PBE) for a relaxed AcHoB4 crystal.

Cell lengths 3.3284, 3.3284, 8.3862 Å; angles 90.00, 90.00, 120.00 degrees
Space group P6/mmm (No. 191)
Inequivalent atoms, fractional coordinates:
Ac 0.0000 0.0000 0.0000
Ho 0.0000 0.0000 0.5000
B 0.3333 0.6667 0.2764

Output
* total magnetic moment: 0.01 μB/cell

=====

Relative energies, in meV per atom, with the most stable structure set to zero: #one 107; #two 0.

=====

#one
Density functional theory data (PBE) for a relaxed AcB4Ir crystal.

Cell lengths 3.3110, 3.3110, 7.3307 Å; angles 90.00, 90.00, 120.00 degrees
Space group P6/mmm (No. 191)
Inequivalent atoms, fractional coordinates:
Ac 0.0000 0.0000 0.0000
B 0.3333 0.6667 0.3057
Ir 0.0000 0.0000 0.5000

Output
* total magnetic moment: 0.00 μB/cell

=====

#two
Density functional theory data (PBE) for a relaxed AcB4Ir crystal.

Cell lengths 3.089, 5.476, 8.698 Å; angles 90.00, 90.00, 90.00 degrees
Space group Immm (No. 71)
Inequivalent atoms, fractional coordinates:
Ac 0.000 0.000 0.000
B 0.000 0.340 0.242
Ir 0.000 0.000 0.500

Output
* total magnetic moment: 0.01 μB/cell

=====

Relative energies, in meV per atom, with the most stable structure set to zero: #one 0; #two 181.

=====

#one
Density functional theory data (PBE) for a relaxed AcB4Mo crystal.

Cell lengths 3.211, 5.628, 7.978 Å; angles 90.00, 90.00, 90.00 degrees
Space group Immm (No. 71)
Inequivalent atoms, fractional coordinates:
Ac 0.000 0.000 0.000
B 0.000 0.342 0.240
Mo 0.000 0.000 0.500

Output
* total magnetic moment: 0.00 μB/cell

=====

#two
Density functional theory data (PBE) for a relaxed AcB4Mo crystal.

Cell lengths 3.1824, 3.1824, 7.8119 Å; angles 90.00, 90.00, 120.00 degrees
Space group P6/mmm (No. 191)
Inequivalent atoms, fractional coordinates:
Ac 0.0000 0.0000 0.0000
B 0.3333 0.6667 0.2956
Mo 0.0000 0.0000 0.5000

Output
* total magnetic moment: 0.00 μB/cell

=====

Relative energies, in meV per atom, with the most stable structure set to zero: #one 354; #two 0.

=====

#one
Density functional theory data (PBE) for a relaxed AcNdB4 crystal.

Cell lengths 3.403, 5.772, 8.652 Å; angles 90.00, 90.00, 90.00 degrees
Space group Immm (No. 71)
Inequivalent atoms, fractional coordinates:
Ac 0.000 0.000 0.000
Nd 0.000 0.000 0.500
B 0.000 0.337 0.249

Output
* total magnetic moment: 0.03 μB/cell

=====

#two
Density functional theory data (PBE) for a relaxed AcNdB4 crystal.

Cell lengths 3.3740, 3.3740, 8.6054 Å; angles 90.00, 90.00, 120.00 degrees
Space group P6/mmm (No. 191)
Inequivalent atoms, fractional coordinates:
Ac 0.0000 0.0000 0.0000
Nd 0.0000 0.0000 0.5000
B 0.3333 0.6667 0.2638

Output
* total magnetic moment: 0.01 μB/cell

=====

Relative energies, in meV per atom, with the most stable structure set to zero: #one 21; #two 0.

=====

#one
Density functional theory data (PBE) for a relaxed AcNiB crystal.

Cell lengths 6.248, 6.248, 6.248 Å; angles 90.00, 90.00, 90.00 degrees
Space group F-43m (No. 216)
Inequivalent atoms, fractional coordinates:
Ac 0.000 0.000 0.000
Ni 0.000 0.000 0.500
B 0.250 0.250 0.250

Output
* total magnetic moment: 0.02 μB/cell

=====

#two
Density functional theory data (PBE) for a relaxed AcNiB crystal.

Cell lengths 6.599, 6.599, 6.599 Å; angles 90.00, 90.00, 90.00 degrees
Space group F-43m (No. 216)
Inequivalent atoms, fractional coordinates:
Ac 0.000 0.000 0.000
Ni 0.250 0.250 0.250
B 0.250 0.250 0.750

Output
* total magnetic moment: 0.01 μB/cell

=====

Relative energies, in meV per atom, with the most stable structure set to zero: #one 0; #two 673.